The following is a PBE-GGA calculation of Dy4AsPtSe2 after structural relaxation, from the Alexandria database.

```
Dy4AsPtSe2
1.0
4.059 0.000 0.000
0.000 7.204 -0.186
0.000 2.493 6.668
Dy As Pt Se
4 1 1 2
direct
0.000 0.733 0.762
0.000 0.267 0.238
0.500 0.740 0.252
0.500 0.260 0.748
0.000 0.500 0.500
0.500 0.500 0.000
0.000 0.000 0.000
0.500 0.000 0.500
```

- Spin magnetization: 0.00 μB per atom
- Uncorrected energy: -0.22302 hartree per atom
- Space-group type: No. 10